(1)
# BaMgIn2Au4 | Alexandria | PBE-GGA | relaxed
data_BaMgIn2Au4
_symmetry_space_group_name_H-M 'R -3 m'
_symmetry_Int_Tables_number 166
_symmetry_space_group_name_Hall '-R 3 2"'
_cell_length_a 4.7798
_cell_length_b 4.7798
_cell_length_c 28.8396
_cell_angle_alpha 90.00
_cell_angle_beta 90.00
_cell_angle_gamma 120.00
loop_
_atom_site_label
_atom_site_type_symbol
_atom_site_fract_x
_atom_site_fract_y
_atom_site_fract_z
Ba1 Ba 0.0000 0.0000 0.0000
Mg1 Mg 0.0000 0.0000 0.5000
In1 In 0.0000 0.0000 0.2400
Au1 Au 0.0000 0.0000 0.1387
Au2 Au 0.0000 0.0000 0.4034
# Total moment: 0.00 μB per formula unit
# Energy relative to the elements: -481 meV per atom

(2)
# Nb3CrCu | Alexandria | PBE-GGA | relaxed
data_Nb3CrCu
_symmetry_space_group_name_H-M 'P m -3 m'
_symmetry_Int_Tables_number 221
_symmetry_space_group_name_Hall '-P 4 2 3'
_cell_length_a 4.609
_cell_length_b 4.609
_cell_length_c 4.609
_cell_angle_alpha 90.00
_cell_angle_beta 90.00
_cell_angle_gamma 90.00
loop_
_atom_site_label
_atom_site_type_symbol
_atom_site_fract_x
_atom_site_fract_y
_atom_site_fract_z
Nb1 Nb 0.000 0.000 0.500
Cr1 Cr 0.500 0.500 0.500
Cu1 Cu 0.000 0.000 0.000
# Total moment: 0.00 μB per formula unit
# Polymorph energy (0 for the lowest one): 514 meV/atom
# Energy relative to the elements: 1520 meV per atom

(3)
# LiLaSbF2 | Alexandria | PBE-GGA | relaxed
data_LiLaSbF2
_symmetry_space_group_name_H-M 'P 4/m m m'
_symmetry_Int_Tables_number 123
_symmetry_space_group_name_Hall '-P 4 2'
_cell_length_a 4.691
_cell_length_b 4.691
_cell_length_c 4.986
_cell_angle_alpha 90.00
_cell_angle_beta 90.00
_cell_angle_gamma 90.00
loop_
_atom_site_label
_atom_site_type_symbol
_atom_site_fract_x
_atom_site_fract_y
_atom_site_fract_z
Li1 Li 0.000 0.000 0.000
La1 La 0.500 0.500 0.000
Sb1 Sb 0.000 0.000 0.500
F1 F 0.000 0.500 0.500
# Total moment: 0.54 μB per formula unit
# Formation energy without anion corrections: -1068 meV per atom

(4)
# CsCuTe2Au | Alexandria | PBE-GGA | relaxed
data_CsCuTe2Au
_symmetry_space_group_name_H-M 'C m m e'
_symmetry_Int_Tables_number 67
_symmetry_space_group_name_Hall '-C 2a 2'
_cell_length_a 7.028
_cell_length_b 12.641
_cell_length_c 7.719
_cell_angle_alpha 90.00
_cell_angle_beta 90.00
_cell_angle_gamma 90.00
loop_
_atom_site_label
_atom_site_type_symbol
_atom_site_fract_x
_atom_site_fract_y
_atom_site_fract_z
Cs1 Cs 0.000 0.250 0.250
Cu1 Cu 0.250 0.000 0.000
Te1 Te 0.000 0.094 0.803
Au1 Au 0.000 0.000 0.500
# Total moment: 0.00 μB per formula unit
# Formation energy without anion corrections: -417 meV per atom

(5)
# Ba2HgMo | Alexandria | PBE-GGA | relaxed
data_Ba2HgMo
_symmetry_space_group_name_H-M 'R 3 m'
_symmetry_Int_Tables_number 160
_symmetry_space_group_name_Hall 'R 3 -2"'
_cell_length_a 4.7865
_cell_length_b 4.7865
_cell_length_c 25.2470
_cell_angle_alpha 90.00
_cell_angle_beta 90.00
_cell_angle_gamma 120.00
loop_
_atom_site_label
_atom_site_type_symbol
_atom_site_fract_x
_atom_site_fract_y
_atom_site_fract_z
Ba1 Ba 0.0000 0.0000 0.0000
Ba2 Ba 0.0000 0.0000 0.1755
Hg1 Hg 0.0000 0.0000 0.4209
Mo1 Mo 0.0000 0.0000 0.7546
# Total moment: 2.09 μB per formula unit
# Energy relative to the elements: 440 meV per atom

(6)
# LaPr2Sm5 | Alexandria | PBE-GGA | relaxed
data_LaPr2Sm5
_symmetry_space_group_name_H-M 'P b a m'
_symmetry_Int_Tables_number 55
_symmetry_space_group_name_Hall '-P 2 2ab'
_cell_length_a 7.324
_cell_length_b 14.664
_cell_length_c 5.193
_cell_angle_alpha 90.00
_cell_angle_beta 90.00
_cell_angle_gamma 90.00
loop_
_atom_site_label
_atom_site_type_symbol
_atom_site_fract_x
_atom_site_fract_y
_atom_site_fract_z
La1 La 0.000 0.000 0.000
Pr1 Pr 0.250 0.126 0.500
Sm1 Sm 0.000 0.252 0.000
Sm2 Sm 0.000 0.500 0.000
Sm3 Sm 0.250 0.374 0.500
# Total moment: 0.00 μB per formula unit
# Energy relative to the elements: 17 meV per atom

(7)
# MnCdPt3 | Alexandria | PBE-GGA | relaxed
data_MnCdPt3
_symmetry_space_group_name_H-M 'P m -3 m'
_symmetry_Int_Tables_number 221
_symmetry_space_group_name_Hall '-P 4 2 3'
_cell_length_a 4.602
_cell_length_b 4.602
_cell_length_c 4.602
_cell_angle_alpha 90.00
_cell_angle_beta 90.00
_cell_angle_gamma 90.00
loop_
_atom_site_label
_atom_site_type_symbol
_atom_site_fract_x
_atom_site_fract_y
_atom_site_fract_z
Mn1 Mn 0.000 0.000 0.000
Cd1 Cd 0.500 0.500 0.500
Pt1 Pt 0.000 0.000 0.500
# Total moment: 0.00 μB per formula unit
# Polymorph energy (0 for the lowest one): 0 meV/atom
# Energy relative to the elements: 752 meV per atom

(8)
# ReIr2Os | Alexandria | PBE-GGA | relaxed
data_ReIr2Os
_symmetry_space_group_name_H-M 'I -4 2 d'
_symmetry_Int_Tables_number 122
_symmetry_space_group_name_Hall 'I -4 2bw'
_cell_length_a 5.684
_cell_length_b 5.684
_cell_length_c 10.739
_cell_angle_alpha 90.00
_cell_angle_beta 90.00
_cell_angle_gamma 90.00
loop_
_atom_site_label
_atom_site_type_symbol
_atom_site_fract_x
_atom_site_fract_y
_atom_site_fract_z
Re1 Re 0.000 0.000 0.000
Ir1 Ir 0.248 0.250 0.625
Os1 Os 0.000 0.000 0.500
# Total moment: 0.00 μB per formula unit
# Energy relative to the elements: 1076 meV per atom